Entry 1:
First-principles (PBEsol) data for a geometry-optimized Sb2Te2Au structure, as listed in Alexandria via LeMat-Bulk. Values from VASP.

Geometry as Quantum ESPRESSO input:
```
&SYSTEM
  ibrav = 0, nat = 10, ntyp = 3
/
ATOMIC_SPECIES
Sb 121.76 Sb.upf
Au 196.97 Au.upf
Te 127.60 Te.upf
ATOMIC_POSITIONS angstrom
Sb 0.0000 6.5561 5.4133
Sb 0.0000 1.4235 2.5663
Sb 0.0000 2.5663 6.5561
Sb 0.0000 5.4133 1.4235
Au 0.0000 0.0000 0.0000
Au 0.0000 3.9898 3.9898
Te 2.1344 2.8111 1.1787
Te 2.1344 6.8009 2.8111
Te 2.1344 5.1685 6.8009
Te 2.1344 1.1787 5.1685
CELL_PARAMETERS angstrom
4.2689 0.0000 0.0000
0.0000 7.9796 0.0000
0.0000 0.0000 7.9796
```

Summary:
Theoretical density ... 8.50 Mg/m³
Energy relative to the elements, uncorrected ... 0.135 eV/atom
Magnetization ... 0.00 μB/cell

=====

Entry 2:
First-principles (PBEsol) data for a geometry-optimized TiSb2TeAu structure, as listed in Alexandria via LeMat-Bulk. Values from VASP.

Geometry as Quantum ESPRESSO input:
```
&SYSTEM
  ibrav = 0, nat = 5, ntyp = 4
/
ATOMIC_SPECIES
Te 127.60 Te.upf
Sb 121.76 Sb.upf
Au 196.97 Au.upf
Ti 47.87 Ti.upf
ATOMIC_POSITIONS angstrom
Te -0.2762 0.8331 2.5427
Sb -1.8952 -1.7625 0.3717
Sb -1.7812 1.7533 -0.7679
Au 0.0000 0.0000 0.0000
Ti -3.9525 0.8239 2.1465
CELL_PARAMETERS angstrom
-3.5624 3.5066 -1.5358
-3.7904 -3.5251 0.7433
-0.5523 1.6662 5.0855
```

Summary:
Theoretical density ... 6.95 Mg/m³
Energy relative to the elements, uncorrected ... 0.798 eV/atom
Magnetization ... 1.82 μB/cell